(1)
A plane-wave DFT calculation with GGA-PBE was carried out for crystalline ZnHgRu2 at its relaxed geometry.

Properties
The energy above the most stable polymorph in this dataset comes out at 251 meV/atom. Its volume is 188.6 Å³ per cell. The value obtained for the total energy is -18.556 eV per formula unit. The value obtained for the energy of formation from the pure elements is 0.39 eV/atom. The value obtained for the theoretical density is 12.4 g/cm³.

Lattice parameters (Å, degrees): 2.8467 2.8467 26.8764 90.00 90.00 120.00
Space group R-3m (No. 166, hexagonal axes)
Inequivalent atoms, fractional coordinates:
Zn 0.0000 0.0000 0.0000
Hg 0.0000 0.0000 0.5000
Ru 0.0000 0.0000 0.2557

(2)
A plane-wave DFT calculation with GGA-PBE was carried out for crystalline BaCoBr2 at its relaxed geometry.

Properties
For the raw formation energy, the calculation gives -0.61 eV per atom. The energy above the most stable polymorph in this dataset comes out at 178 meV/atom. Its volume is 108.8 Å³ per cell. The value obtained for the total energy is -14.834 eV per formula unit. The value obtained for the theoretical density is 5.4 g/cm³.

Lattice parameters (Å, degrees): 4.473 3.965 6.425 90.00 107.24 90.00
Space group P2/m (No. 10)
Inequivalent atoms, fractional coordinates:
Ba 0.000 0.000 0.000
Co 0.500 0.000 0.500
Br 0.388 0.500 0.716

(3)
A plane-wave DFT calculation with GGA-PBE was carried out for crystalline SrAcTl2 at its relaxed geometry.

Properties
The energy above the most stable polymorph in this dataset comes out at 4 meV/atom. Its volume is 561.3 Å³ per cell. The value obtained for the total energy is -12.091 eV per formula unit. The value obtained for the energy of formation from the pure elements is -0.39 eV/atom. The value obtained for the theoretical density is 8.6 g/cm³.

Lattice parameters (Å, degrees): 8.249 8.249 8.249 90.00 90.00 90.00
Space group Fm-3m (No. 225)
Inequivalent atoms, fractional coordinates:
Sr 0.000 0.000 0.000
Ac 0.000 0.000 0.500
Tl 0.250 0.250 0.250

(4)
A plane-wave DFT calculation with GGA-PBE was carried out for crystalline CaTlGa2F8 at its relaxed geometry.

Properties
For the raw formation energy, the calculation gives -2.59 eV per atom. Its volume is 244.8 Å³ per cell. The value obtained for the total energy is -56.443 eV per formula unit. The value obtained for the theoretical density is 3.6 g/cm³.

Lattice parameters (Å, degrees): 5.9630 5.9630 7.9481 90.00 90.00 120.00
Space group P-3m1 (No. 164)
Inequivalent atoms, fractional coordinates:
Ca 0.0000 0.0000 0.0000
Tl 0.0000 0.0000 0.5000
Ga 0.3333 0.6667 0.7186
F 0.1701 0.3402 0.8188
F 0.3333 0.6667 0.4900

(5)
A plane-wave DFT calculation with GGA-PBE was carried out for crystalline CsInMo3 at its relaxed geometry.

Properties
The energy above the most stable polymorph in this dataset comes out at 0 meV/atom. Its volume is 137.1 Å³ per cell. The value obtained for the total energy is -23.584 eV per formula unit. The value obtained for the energy of formation from the pure elements is 2.50 eV/atom. The value obtained for the theoretical density is 6.5 g/cm³.

Lattice parameters (Å, degrees): 5.156 5.156 5.156 90.00 90.00 90.00
Space group Pm-3m (No. 221)
Inequivalent atoms, fractional coordinates:
Cs 0.000 0.000 0.000
In 0.500 0.500 0.500
Mo 0.000 0.500 0.500

(6)
A plane-wave DFT calculation with GGA-PBE was carried out for crystalline Tb3TePd at its relaxed geometry.

Properties
For the raw formation energy, the calculation gives -0.79 eV per atom. Its volume is 300.0 Å³ per cell. The value obtained for the total energy is -26.183 eV per formula unit. The value obtained for the theoretical density is 7.9 g/cm³.

Lattice parameters (Å, degrees): 8.578 3.891 9.104 90.00 99.11 90.00
Space group P2_1/m (No. 11)
Inequivalent atoms, fractional coordinates:
Tb 0.008 0.250 0.342
Tb 0.321 0.250 0.128
Tb 0.369 0.250 0.598
Te 0.318 0.750 0.862
Pd 0.267 0.750 0.361

(7)
A plane-wave DFT calculation with GGA-PBE was carried out for crystalline Ca2GaPb2 at its relaxed geometry.

Properties
The energy above the most stable polymorph in this dataset comes out at 0 meV/atom. Its volume is 297.7 Å³ per cell. The value obtained for the total energy is -16.252 eV per formula unit. The value obtained for the energy of formation from the pure elements is -0.36 eV/atom. The value obtained for the theoretical density is 6.3 g/cm³.

Lattice parameters (Å, degrees): 7.820 7.820 4.869 90.00 90.00 90.00
Space group P4/mbm (No. 127)
Inequivalent atoms, fractional coordinates:
Ca 0.166 0.334 0.000
Ga 0.000 0.000 0.500
Pb 0.143 0.643 0.500

(8)
A plane-wave DFT calculation with GGA-PBE was carried out for crystalline Pm2TaTiN5 at its relaxed geometry.

Properties
For the raw formation energy, the calculation gives -1.37 eV per atom. Its volume is 470.1 Å³ per cell. The value obtained for the total energy is -83.205 eV per formula unit. The value obtained for the theoretical density is 8.3 g/cm³.

Lattice parameters (Å, degrees): 3.322 13.446 10.523 90.00 90.00 90.00
Space group Cmc2_1 (No. 36)
Inequivalent atoms, fractional coordinates:
Pm 0.000 0.106 0.000
Pm 0.000 0.139 0.600
Ta 0.000 0.218 0.318
Ti 0.000 0.477 0.772
N 0.000 0.056 0.356
N 0.000 0.280 0.957
N 0.000 0.311 0.698
N 0.000 0.369 0.308
N 0.000 0.496 0.095

(9)
A plane-wave DFT calculation with GGA-PBE was carried out for crystalline HoTm2PaSe4 at its relaxed geometry.

Properties
For the raw formation energy, the calculation gives -1.55 eV per atom. Its volume is 186.1 Å³ per cell. The value obtained for the total energy is -49.316 eV per formula unit. The value obtained for the theoretical density is 9.4 g/cm³.

Lattice parameters (Å, degrees): 6.988 3.975 7.072 90.00 108.62 90.00
Space group P2/m (No. 10)
Inequivalent atoms, fractional coordinates:
Ho 0.000 0.000 0.000
Tm 0.000 0.500 0.500
Tm 0.500 0.000 0.500
Pa 0.500 0.500 0.000
Se 0.244 0.000 0.742
Se 0.250 0.500 0.256

(10)
A plane-wave DFT calculation with GGA-PBE was carried out for crystalline Ag8PdAu6 at its relaxed geometry.

Properties
The energy above the most stable polymorph in this dataset comes out at 0 meV/atom. Its volume is 815.0 Å³ per cell. The value obtained for the total energy is -47.467 eV per formula unit. The value obtained for the energy of formation from the pure elements is 0.01 eV/atom. The value obtained for the theoretical density is 13.1 g/cm³.

Lattice parameters (Å, degrees): 7.2378 7.2378 17.9651 90.00 90.00 120.00
Space group R-3 (No. 148, hexagonal axes)
Inequivalent atoms, fractional coordinates:
Ag 0.0000 0.0000 0.0789
Ag 0.0521 0.7994 0.6340
Pd 0.0000 0.0000 0.5000
Au 0.0226 0.2470 0.2085

(11)
A plane-wave DFT calculation with GGA-PBE was carried out for crystalline RbMgBeF6 at its relaxed geometry.

Properties
For the raw formation energy, the calculation gives -2.75 eV per atom. Its volume is 136.7 Å³ per cell. The value obtained for the total energy is -42.258 eV per formula unit. The value obtained for the theoretical density is 2.8 g/cm³.

Lattice parameters (Å, degrees): 5.0829 5.0829 6.1108 90.00 90.00 120.00
Space group P312 (No. 149)
Inequivalent atoms, fractional coordinates:
Rb 0.0000 0.0000 0.0000
Mg 0.3333 0.6667 0.5000
Be 0.6667 0.3333 0.5000
F 0.3971 0.0360 0.6656

(12)
A plane-wave DFT calculation with GGA-PBE was carried out for crystalline Y12Tc3O5 at its relaxed geometry.

Properties
For the raw formation energy, the calculation gives -1.40 eV per atom. Its volume is 3523.3 Å³ per cell. The value obtained for the total energy is -161.475 eV per formula unit. The value obtained for the theoretical density is 5.4 g/cm³.

Lattice parameters (Å, degrees): 15.217 15.217 15.217 90.00 90.00 90.00
Space group Ia-3d (No. 230)
Inequivalent atoms, fractional coordinates:
Y 0.031 0.054 0.652
Tc 0.000 0.250 0.125
O 0.000 0.000 0.000
O 0.000 0.250 0.375

Repeat the third record exactly.
A plane-wave DFT calculation with GGA-PBE was carried out for crystalline SrAcTl2 at its relaxed geometry.

Properties
The energy above the most stable polymorph in this dataset comes out at 4 meV/atom. Its volume is 561.3 Å³ per cell. The value obtained for the total energy is -12.091 eV per formula unit. The value obtained for the energy of formation from the pure elements is -0.39 eV/atom. The value obtained for the theoretical density is 8.6 g/cm³.

Lattice parameters (Å, degrees): 8.249 8.249 8.249 90.00 90.00 90.00
Space group Fm-3m (No. 225)
Inequivalent atoms, fractional coordinates:
Sr 0.000 0.000 0.000
Ac 0.000 0.000 0.500
Tl 0.250 0.250 0.250